Entry 1:
DFT (GGA-PBE) results for a relaxed structure of K3CuW.

Unit cell a=6.1625 b=6.1625 c=6.1625 alpha=90.00 beta=90.00 gamma=90.00
With the nearest neighbours (Å) after each atom.
Space group Pm-3m (No. 221)
Unique sites:
K (0.0000, 0.0000, 0.5000) (multiplicity 3)  2 Cu 3.08
Cu (0.0000, 0.0000, 0.0000) (multiplicity 1)  6 K 3.08
W (0.5000, 0.5000, 0.5000) (multiplicity 1)  12 K 4.36

Calculated values
**Energy of formation from the pure elements**: 1.4983 eV/atom
**Total magnetization**: 6.0 μB per formula unit
**DFT total energy**: -2.570 eV/atom
**Volume**: 46.81 Å³/atom
**Polymorph energy (0 for the lowest one)**: 0 kJ/mol of formula units

---

Entry 2:
DFT (GGA-PBE) results for a relaxed structure of SbMoOs3.

Unit cell a=4.7295 b=4.7295 c=4.7295 alpha=90.00 beta=90.00 gamma=90.00
With the nearest neighbours (Å) after each atom.
Space group Pm-3m (No. 221)
Unique sites:
Sb (0.0000, 0.0000, 0.0000) (multiplicity 1)  12 Os 3.34
Mo (0.5000, 0.5000, 0.5000) (multiplicity 1)  6 Os 2.36
Os (0.0000, 0.5000, 0.5000) (multiplicity 3)  2 Mo 2.36

Calculated values
**Total magnetization**: 0.0 μB per formula unit
**DFT total energy**: -7.688 eV/atom
**Volume**: 21.16 Å³/atom
**Polymorph energy (0 for the lowest one)**: 0 kJ/mol of formula units

---

Entry 3:
DFT (GGA-PBE) results for a relaxed structure of ScGe2Rh.

Unit cell a=3.0648 b=3.0648 c=27.9515 alpha=90.00 beta=90.00 gamma=120.00
With the nearest neighbours (Å) after each atom.
Space group R-3m (No. 166, hexagonal axes)
Unique sites:
Sc (0.0000, 0.0000, 0.0000) (multiplicity 3)  2 Ge 2.76, 6 Sc 3.06
Ge (0.0000, 0.0000, 0.0989) (multiplicity 6)  3 Rh 2.59, 1 Sc 2.76
Rh (0.0000, 0.0000, 0.5000) (multiplicity 3)  6 Ge 2.59

Calculated values
**Energy of formation from the pure elements**: -0.1037 eV/atom
**Total magnetization**: 0.0 μB per formula unit
**DFT total energy**: -5.833 eV/atom
**Volume**: 18.95 Å³/atom

---

Entry 4:
DFT (GGA-PBE) results for a relaxed structure of Ac8Ni2Sn3.

Unit cell a=7.3778 b=7.3778 c=31.1090 alpha=90.00 beta=90.00 gamma=120.00
With the nearest neighbours (Å) after each atom.
Space group R-3m (No. 166, hexagonal axes)
Unique sites:
Ac (0.0000, 0.0000, 0.1948) (multiplicity 6)  1 Ni 2.64
Ac (0.0142, 0.5071, 0.2734) (multiplicity 18)  1 Ni 2.71
Ni (0.0000, 0.0000, 0.1101) (multiplicity 6)  4 Ac 2.64-2.71
Sn (0.0000, 0.0000, 0.3001) (multiplicity 6)  4 Ac 3.28-3.54
Sn (0.0000, 0.0000, 0.5000) (multiplicity 3)  12 Ac 3.90-4.35

Calculated values
**Energy of formation from the pure elements**: -0.1397 eV/atom
**Total magnetization**: 0.0 μB per formula unit
**DFT total energy**: -4.481 eV/atom
**Volume**: 37.60 Å³/atom

---

Entry 5:
DFT (GGA-PBE) results for a relaxed structure of KMgScBr6.

Unit cell a=6.9628 b=6.9628 c=14.6881 alpha=90.00 beta=90.00 gamma=120.00
With the nearest neighbours (Å) after each atom.
Space group P-31c (No. 163)
Unique sites:
K (0.0000, 0.0000, 0.0000) (multiplicity 2)  6 Br 3.35
Mg (0.3333, 0.6667, 0.2500) (multiplicity 2)  6 Br 2.70
Sc (0.3333, 0.6667, 0.7500) (multiplicity 2)  6 Br 2.67
Br (0.0026, 0.3735, 0.6449) (multiplicity 12)  1 Sc 2.67, 1 Mg 2.70

Calculated values
**Total magnetization**: 0.0 μB per formula unit
**DFT total energy**: -3.771 eV/atom
**Volume**: 34.26 Å³/atom

---

Entry 6:
DFT (GGA-PBE) results for a relaxed structure of Sr2GaRhN.

Unit cell a=5.4240 b=5.4240 c=3.8526 alpha=90.00 beta=90.00 gamma=90.00
With the nearest neighbours (Å) after each atom.
Space group P4/mmm (No. 123)
Unique sites:
Sr (0.0000, 0.5000, 0.0000) (multiplicity 2)  2 N 2.71
Ga (0.0000, 0.0000, 0.5000) (multiplicity 1)  8 Sr 3.33
Rh (0.5000, 0.5000, 0.5000) (multiplicity 1)  2 N 1.93
N (0.5000, 0.5000, 0.0000) (multiplicity 1)  2 Rh 1.93

Calculated values
**Total magnetization**: 0.0 μB per formula unit
**DFT total energy**: -4.862 eV/atom
**Volume**: 22.67 Å³/atom